(1)
Material: Cd3In8Sn
Method: DFT, GGA-PBE
State: optimized geometry

a = 6.9948 Å, b = 6.9948 Å, c = 7.1825 Å
α = 92.14°, β = 92.14°, γ = 92.75°
Positions (direct):
Cd1 0.0000 0.0000 0.0000
Cd2 0.0000 0.5000 0.5000
Cd3 0.5000 0.0000 0.5000
In1 0.2380 0.2380 0.7376
In2 0.2382 0.7469 0.2451
In3 0.2515 0.2515 0.2630
In4 0.2531 0.7618 0.7549
In5 0.7469 0.2382 0.2451
In6 0.7485 0.7485 0.7370
In7 0.7618 0.2531 0.7549
In8 0.7620 0.7620 0.2624
Sn1 0.5000 0.5000 0.0000

Output
The energy of formation comes out at 6.4 kJ/mol of atoms.

(2)
Material: AsPbS3
Method: DFT, GGA-PBE
State: optimized geometry

a = 8.0020 Å, b = 3.7971 Å, c = 14.3163 Å
α = 90.00°, β = 90.00°, γ = 90.00°
Positions (direct):
As1 0.1647 0.2500 0.0608
As2 0.3353 0.7500 0.5608
As3 0.6647 0.2500 0.4392
As4 0.8353 0.7500 0.9392
Pb1 0.0560 0.7500 0.3251
Pb2 0.4440 0.2500 0.8251
Pb3 0.5560 0.7500 0.1749
Pb4 0.9440 0.2500 0.6749
S1 0.0247 0.2500 0.8915
S2 0.1500 0.2500 0.5003
S3 0.2075 0.7500 0.7101
S4 0.2925 0.2500 0.2101
S5 0.3500 0.7500 0.0003
S6 0.4753 0.7500 0.3915
S7 0.5247 0.2500 0.6085
S8 0.6500 0.2500 0.9997
S9 0.7075 0.7500 0.7899
S10 0.7925 0.2500 0.2899
S11 0.8500 0.7500 0.4997
S12 0.9753 0.7500 0.1085

Output
The formation energy from raw total energies comes out at -0.148 eV/atom.

(3)
Material: Pm3Pu3WN8
Method: DFT, GGA-PBE
State: optimized geometry

a = 6.9551 Å, b = 6.9551 Å, c = 6.9551 Å
α = 59.07°, β = 59.07°, γ = 59.07°
Positions (direct):
Pm1 0.0000 0.5000 0.5000
Pm2 0.5000 0.0000 0.5000
Pm3 0.5000 0.5000 0.0000
Pu1 0.0000 0.0000 0.5000
Pu2 0.0000 0.5000 0.0000
Pu3 0.5000 0.0000 0.0000
W1 0.5000 0.5000 0.5000
N1 0.2442 0.2442 0.2442
N2 0.2699 0.7167 0.7167
N3 0.2833 0.2833 0.7301
N4 0.2833 0.7301 0.2833
N5 0.7167 0.2699 0.7167
N6 0.7167 0.7167 0.2699
N7 0.7301 0.2833 0.2833
N8 0.7558 0.7558 0.7558

Output
The formation energy from raw total energies comes out at -1.133 eV/atom.

(4)
Material: CuAg2GeS4
Method: DFT, GGA-PBE
State: optimized geometry

a = 6.6644 Å, b = 6.6644 Å, c = 6.6644 Å
α = 129.67°, β = 129.67°, γ = 73.93°
Positions (direct):
Cu1 0.0000 0.0000 0.0000
Ag1 0.5000 0.5000 0.0000
Ag2 0.7500 0.2500 0.5000
Ge1 0.2500 0.7500 0.5000
S1 0.1279 0.6638 0.0423
S2 0.3362 0.3785 0.4641
S3 0.6215 0.0856 0.9577
S4 0.9144 0.8721 0.5359

Output
The formation energy from raw total energies comes out at -0.217 eV/atom.

| no. | size of the total moment (μB/cell) | calculated density (Mg/m³) | total DFT energy (no corrections) (eV/atom) |
| --- | --- | --- | --- |
| 1 | 0.00 | 6.512 | -2.322 |
| 2 | 0.00 | 5.777 | -4.296 |
| 3 | 14.31 | 10.432 | -10.253 |
| 4 | 0.00 | 4.662 | -4.082 |